1.
The following is a DFT calculation (PBE) of a relaxed TmSn3Pd6 crystal.

Geometry as CIF:
```
data_TmSn3Pd6
_chemical_formula_sum 'Tm2 Sn6 Pd12'
_cell_length_a 8.938
_cell_length_b 4.409
_cell_length_c 10.439
_cell_angle_alpha 90.00
_cell_angle_beta 107.39
_cell_angle_gamma 90.00
_symmetry_space_group_name_H-M 'P 1 21/m 1'
_symmetry_Int_Tables_number 11
loop_
_symmetry_equiv_pos_as_xyz
'x,y,z'
'-x,-y,-z'
'-x,y+1/2,-z'
'x,-y+1/2,z'
loop_
_atom_site_label
_atom_site_type_symbol
_atom_site_fract_x
_atom_site_fract_y
_atom_site_fract_z
Tm1 Tm 0.115 0.250 0.231
Sn1 Sn 0.200 0.750 0.667
Sn2 Sn 0.308 0.250 0.030
Sn3 Sn 0.419 0.250 0.568
Pd1 Pd 0.087 0.250 0.790
Pd2 Pd 0.103 0.250 0.509
Pd3 Pd 0.112 0.750 0.026
Pd4 Pd 0.260 0.750 0.408
Pd5 Pd 0.384 0.750 0.915
Pd6 Pd 0.449 0.250 0.301
```

## Properties
* energy relative to the elements: -0.53 eV per atom

=====

2.
The following is a DFT calculation (PBE) of a relaxed CoP2PdS crystal.

Geometry as CIF:
```
data_CoP2PdS
_chemical_formula_sum 'Co1 P2 Pd1 S1'
_cell_length_a 4.547
_cell_length_b 4.547
_cell_length_c 4.924
_cell_angle_alpha 90.00
_cell_angle_beta 90.00
_cell_angle_gamma 90.00
_symmetry_space_group_name_H-M 'P 4/m m m'
_symmetry_Int_Tables_number 123
_symmetry_space_group_name_Hall '-P 4 2'
loop_
_atom_site_label
_atom_site_type_symbol
_atom_site_fract_x
_atom_site_fract_y
_atom_site_fract_z
Co1 Co 0.000 0.000 0.000
P1 P 0.000 0.500 0.500
Pd1 Pd 0.500 0.500 0.500
S1 S 0.500 0.500 0.000
```

## Properties
* raw formation energy: 1.114 eV per atom
* energy above the lowest structure with this stoichiometry: 614.9 meV per atom

=====

3.
The following is a DFT calculation (PBE) of a relaxed Sm4Y7Ho crystal.

Geometry as CIF:
```
data_Sm4Y7Ho
_chemical_formula_sum 'Sm4 Y7 Ho1'
_cell_length_a 6.566
_cell_length_b 6.849
_cell_length_c 9.132
_cell_angle_alpha 85.58
_cell_angle_beta 76.99
_cell_angle_gamma 81.87
_symmetry_space_group_name_H-M 'P -1'
_symmetry_Int_Tables_number 2
loop_
_symmetry_equiv_pos_as_xyz
'x,y,z'
'-x,-y,-z'
loop_
_atom_site_label
_atom_site_type_symbol
_atom_site_fract_x
_atom_site_fract_y
_atom_site_fract_z
Sm1 Sm 0.142 0.314 0.283
Sm2 Sm 0.338 0.880 0.694
Y1 Y 0.011 0.252 0.951
Y2 Y 0.180 0.806 0.361
Y3 Y 0.312 0.392 0.617
Y4 Y 0.500 0.000 0.000
Ho1 Ho 0.500 0.500 0.000
```

## Properties
* energy relative to the elements: 0.09 eV per atom
* energy above the lowest structure with this stoichiometry: 0.0 meV per atom

=====

4.
The following is a DFT calculation (PBE) of a relaxed CaScB crystal.

Geometry as CIF:
```
data_CaScB
_chemical_formula_sum 'Ca2 Sc2 B2'
_cell_length_a 6.595
_cell_length_b 3.210
_cell_length_c 6.638
_cell_angle_alpha 90.00
_cell_angle_beta 107.37
_cell_angle_gamma 90.00
_symmetry_space_group_name_H-M 'P 1 m 1'
_symmetry_Int_Tables_number 6
loop_
_symmetry_equiv_pos_as_xyz
'x,y,z'
'x,-y,z'
loop_
_atom_site_label
_atom_site_type_symbol
_atom_site_fract_x
_atom_site_fract_y
_atom_site_fract_z
Ca1 Ca 0.000 0.000 0.000
Ca2 Ca 0.158 0.000 0.530
Sc1 Sc 0.512 0.500 0.000
Sc2 Sc 0.645 0.500 0.505
B1 B 0.760 0.000 0.266
B2 B 0.844 0.500 0.262
```

## Properties
* energy relative to the elements: -0.05 eV per atom
* energy above the lowest structure with this stoichiometry: 186.5 meV per atom

=====

5.
The following is a DFT calculation (PBE) of a relaxed Ti2AgPb2 crystal.

Geometry as CIF:
```
data_Ti2AgPb2
_chemical_formula_sum 'Ti4 Ag2 Pb4'
_cell_length_a 7.300
_cell_length_b 7.300
_cell_length_c 4.076
_cell_angle_alpha 90.00
_cell_angle_beta 90.00
_cell_angle_gamma 90.00
_symmetry_space_group_name_H-M 'P 4/m b m'
_symmetry_Int_Tables_number 127
_symmetry_space_group_name_Hall '-P 4 2ab'
loop_
_atom_site_label
_atom_site_type_symbol
_atom_site_fract_x
_atom_site_fract_y
_atom_site_fract_z
Ti1 Ti 0.126 0.374 0.000
Ag1 Ag 0.000 0.000 0.000
Pb1 Pb 0.178 0.678 0.500
```

## Properties
* energy relative to the elements: 0.16 eV per atom
* energy above the lowest structure with this stoichiometry: 0.0 meV per atom

=====

6.
The following is a DFT calculation (PBE) of a relaxed SrCe2NbO8 crystal.

Geometry as CIF:
```
data_SrCe2NbO8
_chemical_formula_sum 'Sr2 Ce4 Nb2 O16'
_cell_length_a 7.216
_cell_length_b 7.329
_cell_length_c 7.147
_cell_angle_alpha 90.00
_cell_angle_beta 90.00
_cell_angle_gamma 90.00
_symmetry_space_group_name_H-M 'C m m m'
_symmetry_Int_Tables_number 65
_symmetry_space_group_name_Hall '-C 2 2'
loop_
_atom_site_label
_atom_site_type_symbol
_atom_site_fract_x
_atom_site_fract_y
_atom_site_fract_z
Sr1 Sr 0.000 0.000 0.000
Ce1 Ce 0.000 0.500 0.250
Nb1 Nb 0.000 0.000 0.500
O1 O 0.000 0.282 0.500
O2 O 0.000 0.327 0.000
O3 O 0.191 0.000 0.296
```

## Properties
* raw formation energy: -2.822 eV per atom

=====

7.
The following is a DFT calculation (PBE) of a relaxed Tb3DyCd crystal.

Geometry as CIF:
```
data_Tb3DyCd
_chemical_formula_sum 'Tb12 Dy4 Cd4'
_cell_length_a 12.915
_cell_length_b 3.666
_cell_length_c 12.644
_cell_angle_alpha 90.00
_cell_angle_beta 93.87
_cell_angle_gamma 90.00
_symmetry_space_group_name_H-M 'C 1 2/m 1'
_symmetry_Int_Tables_number 12
loop_
_symmetry_equiv_pos_as_xyz
'x,y,z'
'-x,-y,-z'
'-x,y,-z'
'x,-y,z'
'x+1/2,y+1/2,z'
'-x+1/2,-y+1/2,-z'
'-x+1/2,y+1/2,-z'
'x+1/2,-y+1/2,z'
loop_
_atom_site_label
_atom_site_type_symbol
_atom_site_fract_x
_atom_site_fract_y
_atom_site_fract_z
Tb1 Tb 0.037 0.000 0.190
Tb2 Tb 0.134 0.500 0.977
Tb3 Tb 0.146 0.000 0.445
Dy1 Dy 0.231 0.000 0.754
Cd1 Cd 0.060 0.500 0.627
```

## Properties
* energy relative to the elements: -0.11 eV per atom
* energy above the lowest structure with this stoichiometry: 0.0 meV per atom

=====

8.
The following is a DFT calculation (PBE) of a relaxed Ac5Ir2RhAu crystal.

Geometry as CIF:
```
data_Ac5Ir2RhAu
_chemical_formula_sum 'Ac20 Ir8 Rh4 Au4'
_cell_length_a 4.223
_cell_length_b 21.775
_cell_length_c 12.415
_cell_angle_alpha 90.00
_cell_angle_beta 90.00
_cell_angle_gamma 90.00
_symmetry_space_group_name_H-M 'C m c 21'
_symmetry_Int_Tables_number 36
loop_
_symmetry_equiv_pos_as_xyz
'x,y,z'
'-x,-y,z+1/2'
'-x,y,z'
'x,-y,z+1/2'
'x+1/2,y+1/2,z'
'-x+1/2,-y+1/2,z+1/2'
'-x+1/2,y+1/2,z'
'x+1/2,-y+1/2,z+1/2'
loop_
_atom_site_label
_atom_site_type_symbol
_atom_site_fract_x
_atom_site_fract_y
_atom_site_fract_z
Ac1 Ac 0.000 0.033 0.000
Ac2 Ac 0.000 0.162 0.519
Ac3 Ac 0.000 0.182 0.858
Ac4 Ac 0.000 0.201 0.179
Ac5 Ac 0.000 0.446 0.763
Ir1 Ir 0.000 0.318 0.851
Ir2 Ir 0.000 0.379 0.551
Rh1 Rh 0.000 0.349 0.193
Au1 Au 0.000 0.054 0.713
```

## Properties
* energy relative to the elements: -0.56 eV per atom

=====

9.
The following is a DFT calculation (PBE) of a relaxed Pm2ScAl crystal.

Geometry as CIF:
```
data_Pm2ScAl
_chemical_formula_sum 'Pm2 Sc1 Al1'
_cell_length_a 3.650
_cell_length_b 3.650
_cell_length_c 8.293
_cell_angle_alpha 90.00
_cell_angle_beta 90.00
_cell_angle_gamma 90.00
_symmetry_space_group_name_H-M 'P 4/m m m'
_symmetry_Int_Tables_number 123
_symmetry_space_group_name_Hall '-P 4 2'
loop_
_atom_site_label
_atom_site_type_symbol
_atom_site_fract_x
_atom_site_fract_y
_atom_site_fract_z
Pm1 Pm 0.000 0.000 0.227
Sc1 Sc 0.500 0.500 0.500
Al1 Al 0.500 0.500 0.000
```

## Properties
* energy relative to the elements: -0.12 eV per atom
* energy above the lowest structure with this stoichiometry: 65.8 meV per atom

=====

10.
The following is a DFT calculation (PBE) of a relaxed HoGa12Pd4 crystal.

Geometry as CIF:
```
data_HoGa12Pd4
_chemical_formula_sum 'Ho2 Ga24 Pd8'
_cell_length_a 8.797
_cell_length_b 8.797
_cell_length_c 8.797
_cell_angle_alpha 90.00
_cell_angle_beta 90.00
_cell_angle_gamma 90.00
_symmetry_space_group_name_H-M 'I m -3'
_symmetry_Int_Tables_number 204
_symmetry_space_group_name_Hall '-I 2 2 3'
loop_
_atom_site_label
_atom_site_type_symbol
_atom_site_fract_x
_atom_site_fract_y
_atom_site_fract_z
Ho1 Ho 0.000 0.000 0.000
Ga1 Ga 0.000 0.150 0.346
Pd1 Pd 0.250 0.250 0.250
```

## Properties
* energy relative to the elements: -0.24 eV per atom

=====

11.
The following is a DFT calculation (PBE) of a relaxed V2CoTcB crystal.

Geometry as CIF:
```
data_V2CoTcB
_chemical_formula_sum 'V2 Co1 Tc1 B1'
_cell_length_a 3.985
_cell_length_b 3.985
_cell_length_c 4.013
_cell_angle_alpha 90.00
_cell_angle_beta 90.00
_cell_angle_gamma 90.00
_symmetry_space_group_name_H-M 'P 4/m m m'
_symmetry_Int_Tables_number 123
_symmetry_space_group_name_Hall '-P 4 2'
loop_
_atom_site_label
_atom_site_type_symbol
_atom_site_fract_x
_atom_site_fract_y
_atom_site_fract_z
V1 V 0.000 0.500 0.000
Co1 Co 0.000 0.000 0.500
Tc1 Tc 0.500 0.500 0.500
B1 B 0.500 0.500 0.000
```

## Properties
* energy relative to the elements: 0.18 eV per atom